Sm2Ga12Cu: optimized geometry, PBE.

extended XYZ file:
```
30
Lattice="6.159 0.000 0.000 0.000 6.159 0.000 0.000 0.000 15.224" Properties=species:S:1:pos:R:3 pbc="T T T"
Sm 0.000 3.080 11.498
Sm 3.080 0.000 11.498
Sm 0.000 3.080 3.726
Sm 3.080 0.000 3.726
Ga 1.537 4.617 1.313
Ga 3.080 3.080 2.773
Ga 1.537 1.543 13.911
Ga 0.000 0.000 2.773
Ga 3.080 3.080 12.451
Ga 0.000 0.000 5.228
Ga 1.037 2.043 6.543
Ga 4.622 4.617 13.911
Ga 4.622 1.543 1.313
Ga 4.116 1.037 6.543
Ga 1.543 4.622 13.911
Ga 1.037 4.116 8.681
Ga 1.543 1.537 1.313
Ga 3.080 3.080 5.228
Ga 2.043 5.123 6.543
Ga 3.080 3.080 9.996
Ga 0.000 0.000 12.451
Ga 4.617 4.622 1.313
Ga 2.043 1.037 8.681
Ga 4.116 5.123 8.681
Ga 4.617 1.537 13.911
Ga 5.123 2.043 8.681
Ga 5.123 4.116 6.543
Ga 0.000 0.000 9.996
Cu 3.080 0.000 0.000
Cu 0.000 3.080 0.000
```

Output
Crystal system = tetragonal
ρ = 6.91 g cm⁻³
Volume = 19.251 Å³ per atom
Fermi-level density of states = 4.371 states/eV/f.u.
E_form = -338 meV/atom

Pm9Dy2Er: optimized geometry, PBE.

extended XYZ file:
```
12
Lattice="-4.629 0.026 2.181 0.485 -4.976 1.089 6.380 3.576 13.503" Properties=species:S:1:pos:R:3 pbc="T T T"
Dy 4.255 2.385 9.006
Dy 2.125 1.191 4.497
Pm 3.005 2.994 12.348
Pm -1.254 0.607 3.335
Pm 2.183 -0.090 10.640
Pm -2.072 -2.475 1.635
Pm 0.876 1.801 7.842
Pm 0.053 -1.284 6.132
Pm 5.562 0.493 11.802
Pm 3.433 -0.700 7.296
Pm 1.303 -1.894 2.789
Er 0.000 0.000 0.000
```

Output
Crystal system = tetragonal
ρ = 7.42 g cm⁻³
Volume = 33.508 Å³ per atom
Fermi-level density of states = 19.231 states/eV/f.u.
E_form = 17 meV/atom

Tl3VPd: optimized geometry, PBE.

extended XYZ file:
```
5
Lattice="5.210 0.000 0.000 0.000 5.210 0.000 0.000 0.000 5.210" Properties=species:S:1:pos:R:3 pbc="T T T"
Tl 0.000 2.605 0.000
Tl 2.605 0.000 0.000
Tl 0.000 0.000 2.605
Pd 2.605 2.605 2.605
V 0.000 0.000 0.000
```

Output
Crystal system = cubic
ρ = 9.05 g cm⁻³
Energy relative to the lowest polymorph listed for this composition = 0.1524 eV per atom
Volume = 28.289 Å³ per atom
Fermi-level density of states = 4.317 states/eV/f.u.
E_form = 810 meV/atom